Computed, not measured: crystalline KVNO2 at its relaxed geometry at the PBE with a Hubbard U level of DFT.

Volume ... 60.1 Å³ per cell
D(E_F) ... 0.75 states/eV/f.u.
Uncorrected energy ... -6.263 eV/atom
Total magnetic moment ... 1.00 μB/cell

```
data_KVNO2
_chemical_formula_sum 'K1 V1 N1 O2'
_cell_length_a 3.8928
_cell_length_b 3.8928
_cell_length_c 3.9660
_cell_angle_alpha 90.00
_cell_angle_beta 90.00
_cell_angle_gamma 90.00
_symmetry_space_group_name_H-M 'P 4/m m m'
_symmetry_Int_Tables_number 123
_symmetry_space_group_name_Hall '-P 4 2'
loop_
_atom_site_label
_atom_site_fract_x
_atom_site_fract_y
_atom_site_fract_z
_atom_site_occupancy
K1 0.0000 0.0000 0.0000 1
V1 0.5000 0.5000 0.5000 1
N1 0.5000 0.5000 0.0000 1
O1 0.0000 0.5000 0.5000 1
```